VASP calculation (PBE-GGA) on a relaxed CePmVGe crystal.

Unit cell a=5.118 b=5.118 c=5.118 alpha=60.00 beta=60.00 gamma=60.00
Fractional positions:
Ge 0.500 0.500 0.500
V 0.000 0.000 0.000
Ce 0.250 0.250 0.250
Pm 0.750 0.750 0.750

Computed properties:
Magnetization, Bohr magnetons per cell: 2.1
ΔH_f (0 K), eV per atom: -0.028
D(E_F), states/eV/cell: 6.557